VASP calculation (PBE) on crystalline Sm6Tl5Te at its relaxed geometry. Values from VASP.

Calculated values
Symmetry = No. 12
E_tot = -4.091 eV/atom
Calculated volume = 345.4 Å³ per cell

```
&SYSTEM
  ibrav = 0, nat = 12, ntyp = 3
/
ATOMIC_SPECIES
Sm 150.36 Sm.upf
Tl 204.38 Tl.upf
Te 127.60 Te.upf
CELL_PARAMETERS angstrom
9.897 -0.174 0.000
2.837 4.397 0.000
1.419 2.199 7.848
ATOMIC_POSITIONS angstrom
Sm 8.122 0.977 2.553
Sm 4.612 3.246 2.553
Sm 3.154 1.074 0.000
Sm 9.580 3.149 0.000
Sm 9.541 3.175 5.295
Sm 6.031 5.445 5.295
Tl 6.367 2.112 5.223
Tl 1.419 2.199 2.773
Tl 6.367 2.112 0.000
Tl 2.837 4.397 5.075
Tl 7.786 4.310 2.624
Te 0.000 0.000 0.000
```

---

VASP calculation (PBE) on crystalline Sm3TlTe2 at its relaxed geometry. Values from VASP.

Calculated values
Symmetry = No. 71
E_tot = -4.881 eV/atom
Calculated volume = 188.2 Å³ per cell

```
&SYSTEM
  ibrav = 0, nat = 6, ntyp = 3
/
ATOMIC_SPECIES
Sm 150.36 Sm.upf
Tl 204.38 Tl.upf
Te 127.60 Te.upf
CELL_PARAMETERS angstrom
4.356 0.000 0.000
0.000 6.306 0.000
-2.178 -3.153 6.850
ATOMIC_POSITIONS angstrom
Sm 3.267 1.576 1.146
Sm -1.089 1.576 5.704
Sm 1.089 -1.576 3.425
Tl 1.089 1.576 3.425
Te 3.267 4.729 1.129
Te -1.089 -1.576 5.720
```

---

VASP calculation (PBE) on crystalline Sm4Tl3Te8 at its relaxed geometry. Values from VASP.

Calculated values
Symmetry = No. 12
E_tot = -4.400 eV/atom
Calculated volume = 541.8 Å³ per cell

```
&SYSTEM
  ibrav = 0, nat = 15, ntyp = 3
/
ATOMIC_SPECIES
Sm 150.36 Sm.upf
Tl 204.38 Tl.upf
Te 127.60 Te.upf
CELL_PARAMETERS angstrom
9.039 -0.113 -0.162
-4.397 7.989 0.246
-4.397 -2.543 7.578
ATOMIC_POSITIONS angstrom
Sm 4.520 -0.056 -0.081
Sm -2.199 3.995 0.123
Sm 0.000 0.000 0.000
Sm -2.199 -1.272 3.789
Tl 2.321 3.938 0.042
Tl 2.321 -1.328 3.708
Tl 0.122 2.667 3.831
Te 2.332 1.207 1.734
Te -4.397 5.385 2.059
Te 6.799 1.199 1.722
Te 0.122 5.378 1.943
Te 0.122 -0.045 5.718
Te -6.554 4.134 5.939
Te -4.397 0.062 5.765
Te -2.087 4.127 5.928
```

---

VASP calculation (PBE) on crystalline Sm5Tl2Te2 at its relaxed geometry. Values from VASP.

Calculated values
Symmetry = No. 64
E_tot = -4.660 eV/atom
Calculated volume = 544.8 Å³ per cell

```
&SYSTEM
  ibrav = 0, nat = 18, ntyp = 3
/
ATOMIC_SPECIES
Sm 150.36 Sm.upf
Tl 204.38 Tl.upf
Te 127.60 Te.upf
CELL_PARAMETERS angstrom
-5.156 -4.688 -4.467
-0.521 -5.391 6.260
-8.779 1.672 0.709
ATOMIC_POSITIONS angstrom
Sm 0.000 0.000 0.000
Sm -2.838 -5.040 0.896
Sm -8.853 -1.876 -0.556
Sm -10.948 -7.084 2.138
Sm -8.280 -3.814 3.296
Sm -11.520 -5.146 -1.714
Sm -5.603 -6.531 3.058
Sm -3.508 -1.324 0.365
Sm -6.175 -4.594 -0.794
Sm -2.935 -3.261 4.216
Tl -0.875 -2.619 1.731
Tl -4.802 -7.460 0.062
Tl -2.350 -6.419 3.809
Tl -3.327 -3.660 -2.016
Te -6.298 0.065 -0.468
Te -9.136 -4.975 0.428
Te -7.637 -3.082 -3.289
Te -5.320 -3.433 2.074
```

---

VASP calculation (PBE) on crystalline Sm5Tl2Te at its relaxed geometry. Values from VASP.

Calculated values
Symmetry = No. 63
Energy above the most stable polymorph in this dataset = 0.1727 eV per atom
E_tot = -4.284 eV/atom
Calculated volume = 511.2 Å³ per cell

```
&SYSTEM
  ibrav = 0, nat = 16, ntyp = 3
/
ATOMIC_SPECIES
Sm 150.36 Sm.upf
Tl 204.38 Tl.upf
Te 127.60 Te.upf
CELL_PARAMETERS angstrom
6.034 0.000 0.000
-3.017 4.927 0.000
0.000 0.000 17.195
ATOMIC_POSITIONS angstrom
Sm 3.017 4.154 15.467
Sm 3.017 4.154 10.327
Sm 0.000 4.163 6.990
Sm 0.000 4.163 1.607
Sm 3.017 2.261 4.299
Sm 0.000 2.666 12.897
Sm 3.017 0.764 10.205
Sm 3.017 0.764 15.588
Sm 0.000 0.773 1.729
Sm 0.000 0.773 6.869
Tl 3.017 2.495 7.417
Tl 3.017 2.495 1.181
Tl 0.000 2.432 9.778
Tl 0.000 2.432 16.015
Te 3.017 2.303 12.897
Te 0.000 2.624 4.299
```

---

VASP calculation (PBE) on crystalline Sm3TlTe at its relaxed geometry. Values from VASP.

Calculated values
Symmetry = No. 62
Energy above the most stable polymorph in this dataset = 0.0000 eV per atom
E_tot = -4.623 eV/atom
Calculated volume = 631.5 Å³ per cell

```
&SYSTEM
  ibrav = 0, nat = 20, ntyp = 3
/
ATOMIC_SPECIES
Sm 150.36 Sm.upf
Tl 204.38 Tl.upf
Te 127.60 Te.upf
CELL_PARAMETERS angstrom
4.569 0.000 0.000
0.000 8.312 0.000
0.000 0.000 16.627
ATOMIC_POSITIONS angstrom
Sm 1.142 3.069 9.252
Sm 3.427 6.756 3.928
Sm 3.427 4.261 14.805
Sm 3.427 0.104 10.135
Sm 3.427 5.243 7.375
Sm 1.142 8.208 6.491
Sm 1.142 7.225 15.688
Sm 3.427 2.600 4.385
Sm 1.142 5.713 12.242
Sm 1.142 1.557 12.698
Sm 3.427 1.087 0.939
Sm 1.142 4.052 1.822
Tl 3.427 7.619 13.412
Tl 1.142 0.694 3.214
Tl 3.427 3.462 11.528
Tl 1.142 4.850 5.099
Te 1.142 2.329 15.785
Te 1.142 6.485 9.155
Te 3.427 1.827 7.471
Te 3.427 5.984 0.842
```

---

VASP calculation (PBE) on crystalline Sm4Tl2Te at its relaxed geometry. Values from VASP.

Calculated values
Symmetry = No. 122
E_tot = -4.443 eV/atom
Calculated volume = 426.5 Å³ per cell

```
&SYSTEM
  ibrav = 0, nat = 14, ntyp = 3
/
ATOMIC_SPECIES
Sm 150.36 Sm.upf
Tl 204.38 Tl.upf
Te 127.60 Te.upf
CELL_PARAMETERS angstrom
8.134 -1.139 -0.115
-1.646 8.044 0.152
-3.165 -3.564 6.689
ATOMIC_POSITIONS angstrom
Sm -1.538 0.699 2.661
Sm 1.479 2.582 1.727
Sm 4.132 1.863 4.058
Sm 3.394 -2.487 4.975
Sm 0.658 6.606 1.755
Sm -0.672 -1.914 4.987
Sm 0.086 2.401 6.026
Sm 5.750 3.616 0.714
Tl 1.460 0.230 4.165
Tl 3.484 4.837 2.570
Tl 4.288 0.845 0.787
Tl -2.588 0.770 5.930
Te -0.785 3.967 3.431
Te -4.811 4.480 6.840
```

---

VASP calculation (PBE) on crystalline SmTlTe2 at its relaxed geometry. Values from VASP.

Calculated values
Symmetry = No. 123
E_tot = -4.246 eV/atom
Calculated volume = 128.5 Å³ per cell

```
&SYSTEM
  ibrav = 0, nat = 4, ntyp = 3
/
ATOMIC_SPECIES
Tl 204.38 Tl.upf
Te 127.60 Te.upf
Sm 150.36 Sm.upf
CELL_PARAMETERS angstrom
3.932 0.000 0.000
0.000 3.932 0.000
0.000 0.000 8.309
ATOMIC_POSITIONS angstrom
Tl 1.966 1.966 4.155
Te 0.000 0.000 6.510
Te 0.000 0.000 1.799
Sm 1.966 1.966 0.000
```

---

Q: The highest calculated volume belongs to which entry?
A: Sm3TlTe

---

Q: What is the calculated volume in the first record?
A: 345.4 Å³ per cell

---

Q: Look up the E_tot of the fifth one.
A: -4.284 eV/atom